[1]
Compound: Zr6Tl3Ga
Source: Alexandria via LeMat-Bulk
Functional: PBE
Structure: optimized geometry

Lattice parameters (Å, degrees): 10.8337 5.7841 7.8487 90.00 107.10 90.00
Space group C2/m (No. 12)
One atom of each set of equivalent atoms:
Zr: 0.1241 0.0000 0.4199 x4
Zr: 0.1485 0.2451 0.8186 x8
Tl: 0.0000 0.5000 0.5000 x2
Tl: 0.1155 0.5000 0.1928 x4
Ga: 0.0000 0.0000 0.0000 x2

Computed properties:
The value obtained for the formation energy from the elements is 71 meV/atom.


[2]
Compound: Zn2PbW
Source: Alexandria via LeMat-Bulk
Functional: PBE
Structure: optimized geometry

Lattice parameters (Å, degrees): 3.0548 3.0548 27.9363 90.00 90.00 120.00
Space group R3m (No. 160, hexagonal axes)
One atom of each set of equivalent atoms:
Zn: 0.0000 0.0000 0.0000 x3
Zn: 0.0000 0.0000 0.2620 x3
Pb: 0.0000 0.0000 0.4994 x3
W: 0.0000 0.0000 0.7414 x3

Computed properties:
The value obtained for the formation energy from the elements is 577 meV/atom.


[3]
Compound: CaOs2Au
Source: Alexandria via LeMat-Bulk
Functional: PBE
Structure: optimized geometry

Lattice parameters (Å, degrees): 3.9081 3.9081 4.5289 90.00 90.00 90.00
Space group P4/mmm (No. 123)
One atom of each set of equivalent atoms:
Ca: 0.0000 0.0000 0.0000 x1
Os: 0.0000 0.5000 0.5000 x2
Au: 0.5000 0.5000 0.0000 x1

Computed properties:
The value obtained for the formation energy from the elements is 556 meV/atom. The polymorph energy (0 for the lowest one) comes out at 0.3665 eV/atom.


[4]
Compound: Cs2NdAuI6
Source: Alexandria via LeMat-Bulk
Functional: PBE
Structure: optimized geometry

Lattice parameters (Å, degrees): 8.4422 8.7145 8.7324 113.58 101.49 112.57
Space group P-1 (No. 2)
One atom of each set of equivalent atoms:
Cs: 0.2497 0.0012 0.2528 x2
Nd: 0.5000 0.5000 0.0000 x1
Au: 0.0000 0.5000 0.5000 x1
I: 0.2084 0.4950 0.1617 x2
I: 0.2746 0.0445 0.7708 x2
I: 0.3053 0.5013 0.6417 x2

Computed properties:
Its formation energy without anion corrections is -1.178 eV/atom.


[5]
Compound: NaLaMgCd2
Source: Alexandria via LeMat-Bulk
Functional: PBE
Structure: optimized geometry

Lattice parameters (Å, degrees): 6.0595 6.0595 6.3709 90.00 90.00 90.00
Space group P4/mmm (No. 123)
One atom of each set of equivalent atoms:
Na: 0.0000 0.0000 0.0000 x1
La: 0.0000 0.0000 0.5000 x1
Mg: 0.5000 0.5000 0.0000 x1
Cd: 0.0000 0.5000 0.5000 x2

Computed properties:
The value obtained for the formation energy from the elements is 812 meV/atom.


[6]
Compound: Th2TiTl
Source: Alexandria via LeMat-Bulk
Functional: PBE
Structure: optimized geometry

Lattice parameters (Å, degrees): 7.6589 7.6589 7.6589 90.00 90.00 90.00
Space group Fm-3m (No. 225)
One atom of each set of equivalent atoms:
Th: 0.2500 0.2500 0.2500 x8
Ti: 0.0000 0.0000 0.0000 x4
Tl: 0.0000 0.0000 0.5000 x4

Computed properties:
The value obtained for the formation energy from the elements is 175 meV/atom. The polymorph energy (0 for the lowest one) comes out at 0.1065 eV/atom.


We obtain magnetic moment values of 0.00; 0.00; 0.00; 0.00; 0.00; 8.99 μB per cell for the records listed above, in that order.